Computed, not measured: a relaxed Tl2NiPdF6 crystal at the GGA+U level of DFT.

Structure (CIF):
```
data_Tl2NiPdF6
_chemical_formula_sum 'Tl12 Ni6 Pd6 F36'
_cell_length_a 6.0546
_cell_length_b 6.0546
_cell_length_c 31.3596
_cell_angle_alpha 90.00
_cell_angle_beta 90.00
_cell_angle_gamma 120.00
_symmetry_space_group_name_H-M 'R -3 m'
_symmetry_Int_Tables_number 166
_symmetry_space_group_name_Hall '-R 3 2"'
loop_
_atom_site_label
_atom_site_type_symbol
_atom_site_fract_x
_atom_site_fract_y
_atom_site_fract_z
Tl1 Tl 0.0000 0.0000 0.1212
Tl2 Tl 0.0000 0.0000 0.2851
Ni1 Ni 0.0000 0.0000 0.4086
Pd1 Pd 0.0000 0.0000 0.0000
Pd2 Pd 0.0000 0.0000 0.5000
F1 F 0.0037 0.5018 0.2914
F2 F 0.0314 0.5157 0.1173
```

total DFT energy (no corrections)	-4.06	eV/atom